(1)
{
  "formula": "YZr2Si",
  "functional": "PBE-GGA",
  "state": "optimized geometry",
  "n_ef_per_ev_cell": 7.18,
  "polymorph_energy_mev_per_atom": 0,
  "dft_energy_ev_per_atom": -7.5331,
  "e_form_raw_kj_per_mol_fu": -110.9,
  "total_magnetization_mub_per_fu": 0.00,
  "lattice_angstrom": [[4.3338, 0.0000, 0.0000], [0.0000, 3.8175, 0.0000], [0.0000, 0.0000, 11.2324]],
  "species": ["Y", "Y", "Zr", "Zr", "Zr", "Zr", "Si", "Si"],
  "fractional_positions": [[0.0000, 0.0000, 0.0000], [0.0000, 0.5000, 0.5000], [0.0000, 0.0000, 0.2756], [0.0000, 0.5000, 0.7756], [0.5000, 0.0000, 0.7003], [0.5000, 0.5000, 0.2003], [0.5000, 0.0000, 0.4174], [0.5000, 0.5000, 0.9174]]
}



(2)
{
  "formula": "Zn3Si4",
  "functional": "PBE-GGA",
  "state": "optimized geometry",
  "n_ef_per_ev_cell": 3.20,
  "dft_energy_ev_per_atom": -2.9872,
  "e_form_raw_kj_per_mol_fu": 444.2,
  "total_magnetization_mub_per_fu": 0.00,
  "lattice_angstrom": [[5.0548, 0.0000, 0.0000], [0.0000, 5.0548, 0.0000], [0.0000, 0.0000, 5.0548]],
  "species": ["Zn", "Zn", "Zn", "Si", "Si", "Si", "Si"],
  "fractional_positions": [[0.0000, 0.0000, 0.5000], [0.0000, 0.5000, 0.0000], [0.5000, 0.0000, 0.0000], [0.0000, 0.0000, 0.0000], [0.0000, 0.5000, 0.5000], [0.5000, 0.0000, 0.5000], [0.5000, 0.5000, 0.0000]]
}



(3)
{
  "formula": "ZnSi",
  "functional": "PBE-GGA",
  "state": "optimized geometry",
  "n_ef_per_ev_cell": 1.73,
  "dft_energy_ev_per_atom": -3.1007,
  "e_form_raw_kj_per_mol_fu": 47.8,
  "total_magnetization_mub_per_fu": 0.00,
  "lattice_angstrom": [[6.6373, 0.0000, 0.0000], [0.0000, 2.7123, 0.0000], [-2.5692, 0.0000, 7.4031]],
  "species": ["Zn", "Zn", "Zn", "Zn", "Si", "Si", "Si", "Si"],
  "fractional_positions": [[0.2216, 0.0000, 0.3518], [0.2784, 0.5000, 0.6482], [0.7216, 0.5000, 0.3518], [0.7784, 0.0000, 0.6482], [0.0998, 0.5000, 0.8970], [0.4002, 0.0000, 0.1030], [0.5998, 0.0000, 0.8970], [0.9002, 0.5000, 0.1030]]
}



(4)
{
  "formula": "Zn3Si",
  "functional": "PBE-GGA",
  "state": "optimized geometry",
  "n_ef_per_ev_cell": 2.31,
  "dft_energy_ev_per_atom": -2.0879,
  "e_form_raw_kj_per_mol_fu": 86.2,
  "total_magnetization_mub_per_fu": 0.00,
  "lattice_angstrom": [[5.0142, 0.0000, 0.0000], [0.0000, 5.0142, 0.0000], [0.0000, 0.0000, 5.0142]],
  "species": ["Zn", "Zn", "Zn", "Zn", "Zn", "Zn", "Si", "Si"],
  "fractional_positions": [[0.0000, 0.2500, 0.5000], [0.0000, 0.7500, 0.5000], [0.2500, 0.5000, 0.0000], [0.5000, 0.0000, 0.2500], [0.5000, 0.0000, 0.7500], [0.7500, 0.5000, 0.0000], [0.0000, 0.0000, 0.0000], [0.5000, 0.5000, 0.5000]]
}



(5)
{
  "formula": "ZnSi2",
  "functional": "PBE-GGA",
  "state": "optimized geometry",
  "n_ef_per_ev_cell": 2.39,
  "dft_energy_ev_per_atom": -3.6284,
  "e_form_raw_kj_per_mol_fu": 119.2,
  "total_magnetization_mub_per_fu": 0.00,
  "lattice_angstrom": [[2.5820, 0.0000, 0.0000], [0.0000, 4.5770, 0.0000], [0.0000, 0.0000, 7.7899]],
  "species": ["Zn", "Zn", "Si", "Si", "Si", "Si"],
  "fractional_positions": [[0.0000, 0.0000, 0.0000], [0.5000, 0.5000, 0.5000], [0.0000, 0.0000, 0.3371], [0.0000, 0.0000, 0.6629], [0.5000, 0.5000, 0.1629], [0.5000, 0.5000, 0.8371]]
}



(6)
{
  "formula": "ZnSi3",
  "functional": "PBE-GGA",
  "state": "optimized geometry",
  "n_ef_per_ev_cell": 5.83,
  "polymorph_energy_mev_per_atom": 165,
  "dft_energy_ev_per_atom": -3.9587,
  "e_form_raw_kj_per_mol_fu": 164.8,
  "total_magnetization_mub_per_fu": 0.00,
  "lattice_angstrom": [[3.6109, 0.0000, 0.0000], [0.0000, 3.6109, 0.0000], [0.0000, 0.0000, 19.9264]],
  "species": ["Zn", "Zn", "Zn", "Zn", "Si", "Si", "Si", "Si", "Si", "Si", "Si", "Si", "Si", "Si", "Si", "Si"],
  "fractional_positions": [[0.0000, 0.0000, 0.1075], [0.0000, 0.0000, 0.8925], [0.5000, 0.5000, 0.3925], [0.5000, 0.5000, 0.6075], [0.0000, 0.0000, 0.3386], [0.0000, 0.0000, 0.6614], [0.0000, 0.5000, 0.0000], [0.0000, 0.5000, 0.2500], [0.0000, 0.5000, 0.5000], [0.0000, 0.5000, 0.7500], [0.5000, 0.0000, 0.0000], [0.5000, 0.0000, 0.2500], [0.5000, 0.0000, 0.5000], [0.5000, 0.0000, 0.7500], [0.5000, 0.5000, 0.1614], [0.5000, 0.5000, 0.8386]]
}



(7)
{
  "formula": "ZnSi2",
  "functional": "PBE-GGA",
  "state": "optimized geometry",
  "n_ef_per_ev_cell": 1.25,
  "dft_energy_ev_per_atom": -3.6973,
  "e_form_raw_kj_per_mol_fu": 99.2,
  "total_magnetization_mub_per_fu": 0.00,
  "lattice_angstrom": [[4.3812, 0.0000, 0.0000], [0.0000, 4.3812, 0.0000], [0.0000, 0.0000, 5.4016]],
  "species": ["Zn", "Zn", "Si", "Si", "Si", "Si"],
  "fractional_positions": [[0.2500, 0.2500, 0.1777], [0.7500, 0.7500, 0.8223], [0.2500, 0.2500, 0.7266], [0.2500, 0.7500, 0.5000], [0.7500, 0.2500, 0.5000], [0.7500, 0.7500, 0.2734]]
}



(8)
{
  "formula": "ZnSi",
  "functional": "PBE-GGA",
  "state": "optimized geometry",
  "n_ef_per_ev_cell": 2.34,
  "dft_energy_ev_per_atom": -3.1457,
  "e_form_raw_kj_per_mol_fu": 39.1,
  "total_magnetization_mub_per_fu": 0.00,
  "lattice_angstrom": [[4.7193, 0.0000, 0.0000], [0.0000, 10.3215, 0.0000], [0.0000, 0.0000, 2.6157]],
  "species": ["Zn", "Zn", "Zn", "Zn", "Si", "Si", "Si", "Si"],
  "fractional_positions": [[0.0000, 0.0000, 0.0000], [0.0000, 0.5000, 0.5000], [0.5000, 0.0000, 0.5000], [0.5000, 0.5000, 0.0000], [0.0000, 0.2183, 0.5000], [0.0000, 0.7817, 0.5000], [0.5000, 0.2817, 0.5000], [0.5000, 0.7183, 0.5000]]
}